# BeSbS2

An optimized crystal structure of BeSbS2 (GGA-PBE, Alexandria).

a = 6.519 Å, b = 6.519 Å, c = 6.519 Å
α = 90.00°, β = 90.00°, γ = 90.00°
Fractional positions:
Be: 0.000 0.000 0.000
Be: 0.000 0.500 0.500
Be: 0.500 0.000 0.500
Be: 0.500 0.500 0.000
Sb: 0.000 0.000 0.500
Sb: 0.000 0.500 0.000
Sb: 0.500 0.000 0.000
Sb: 0.500 0.500 0.500
S: 0.250 0.250 0.250
S: 0.250 0.250 0.750
S: 0.250 0.750 0.250
S: 0.250 0.750 0.750
S: 0.750 0.250 0.250
S: 0.750 0.250 0.750
S: 0.750 0.750 0.250
S: 0.750 0.750 0.750

- E above lowest polymorph: 703.0 meV/atom
- Electronic total energy: -3.6162 eV per atom
- Symmetry: No. 225